The following is a PBE calculation of an optimized crystal structure of Ba3Ga2Sn9Pb, from Alexandria via LeMat-Bulk.

Calculated formation energy ... -0.08 eV per atom

abc: 8.4324 8.4324 8.6733
angles: 90.00 90.00 120.00
Closest atoms and distances in Å follow each position.
Space group P-3m1 (No. 164)
One atom of each set of equivalent atoms:
Ba 0.0000 0.0000 0.0000 [1 per cell]  12 Sn 4.02-4.22, 2 Pb 4.34
Ba 0.3333 0.6667 0.6791 [2 per cell]  1 Ga 3.51, 6 Sn 3.67-3.70
Ga 0.3333 0.6667 0.0836 [2 per cell]  3 Sn 2.54
Sn 0.0000 0.5000 0.0000 [3 per cell]  2 Ga 2.54
Sn 0.1985 0.3971 0.3215 [6 per cell]  1 Ga 2.85
Pb 0.0000 0.0000 0.5000 [1 per cell]  6 Sn 3.29



The following is a PBE calculation of an optimized crystal structure of NbV12P6, from Alexandria via LeMat-Bulk.

Calculated formation energy ... -0.45 eV per atom

abc: 10.7473 10.7473 7.9956
angles: 90.00 90.00 120.00
Closest atoms and distances in Å follow each position.
Space group R-3m (No. 166, hexagonal axes)
One atom of each set of equivalent atoms:
Nb 0.0000 0.0000 0.0000 [3 per cell]  6 V 3.16, 6 P 3.38
V 0.0000 0.3812 0.5000 [18 per cell]  4 P 2.28-2.32
V 0.0888 0.1776 0.3367 [18 per cell]  3 P 2.38-2.57, 2 V 2.66
P 0.0241 0.5121 0.2588 [18 per cell]  5 V 2.28-2.38



The following is a PBE calculation of an optimized crystal structure of MgPAuO2, from Alexandria via LeMat-Bulk.

Energy above the lowest structure with this stoichiometry ... 0 kJ/mol of formula units

abc: 3.7676 3.7676 6.0445
angles: 90.00 90.00 90.00
Closest atoms and distances in Å follow each position.
Space group P4/mmm (No. 123)
One atom of each set of equivalent atoms:
Mg 0.0000 0.0000 0.0000 [1 per cell]  4 O 1.88
P 0.0000 0.0000 0.5000 [1 per cell]  4 Au 2.66
Au 0.5000 0.5000 0.5000 [1 per cell]  4 P 2.66
O 0.0000 0.5000 0.0000 [2 per cell]  2 Mg 1.88



The following is a PBE calculation of an optimized crystal structure of BPtSO2, from Alexandria via LeMat-Bulk.

Total DFT energy (no corrections) ... -4.51 eV per atom

abc: 3.7644 3.7644 4.7425
angles: 90.00 90.00 90.00
Closest atoms and distances in Å follow each position.
Space group P4/mmm (No. 123)
One atom of each set of equivalent atoms:
B 0.0000 0.0000 0.0000 [1 per cell]  2 Pt 2.37
Pt 0.0000 0.0000 0.5000 [1 per cell]  4 O 1.88
S 0.5000 0.5000 0.0000 [1 per cell]  4 B 2.66
O 0.0000 0.5000 0.5000 [2 per cell]  2 Pt 1.88



The following is a PBE calculation of an optimized crystal structure of ScTaReMo, from Alexandria via LeMat-Bulk.

Calculated formation energy ... -0.06 eV per atom

abc: 6.4754 6.4754 6.4754
angles: 90.00 90.00 90.00
Closest atoms and distances in Å follow each position.
Space group F-43m (No. 216)
One atom of each set of equivalent atoms:
Sc 0.0000 0.0000 0.0000 [4 per cell]  4 Mo 2.80, 4 Re 2.80
Ta 0.0000 0.0000 0.5000 [4 per cell]  4 Mo 2.80, 4 Re 2.80
Re 0.2500 0.2500 0.7500 [4 per cell]  4 Ta 2.80, 4 Sc 2.80
Mo 0.2500 0.2500 0.2500 [4 per cell]  4 Ta 2.80, 4 Sc 2.80



The following is a PBE calculation of an optimized crystal structure of AlCl, from Alexandria via LeMat-Bulk.

Total DFT energy (no corrections) ... -3.49 eV per atom

abc: 13.7824 3.2543 8.5259
angles: 90.00 92.22 90.00
Closest atoms and distances in Å follow each position.
Space group Cm (No. 8)
One atom of each set of equivalent atoms:
Al 0.0000 0.0000 0.0000 [2 per cell]  2 Cl 2.32
Al 0.1593 0.0000 0.8346 [2 per cell]  2 Cl 2.38, 1 Al 2.65
Al 0.3331 0.5000 0.8336 [2 per cell]  2 Cl 2.38, 1 Al 2.66
Cl 0.0042 0.5000 0.1948 [2 per cell]  2 Al 2.32
Cl 0.1188 0.5000 0.6384 [2 per cell]  2 Al 2.38
Cl 0.3636 0.0000 0.6371 [2 per cell]  2 Al 2.38



The following is a PBE calculation of an optimized crystal structure of Eu2HoSn, from Alexandria via LeMat-Bulk.

Calculated formation energy ... -0.38 eV per atom

abc: 4.8679 4.8679 5.1558
angles: 90.00 90.00 90.00
Closest atoms and distances in Å follow each position.
Space group P4/mmm (No. 123)
One atom of each set of equivalent atoms:
Eu 0.0000 0.5000 0.0000 [2 per cell]  4 Eu 3.44, 4 Sn 3.55, 4 Ho 3.55
Ho 0.0000 0.0000 0.5000 [1 per cell]  4 Sn 3.44, 8 Eu 3.55
Sn 0.5000 0.5000 0.5000 [1 per cell]  4 Ho 3.44, 8 Eu 3.55



The following is a PBE calculation of an optimized crystal structure of TbY6Ho3, from Alexandria via LeMat-Bulk.

Calculated formation energy ... 0.14 eV per atom
Energy above the lowest structure with this stoichiometry ... 27 kJ/mol of formula units

abc: 10.9777 18.9217 6.2426
angles: 90.00 90.00 90.00
Closest atoms and distances in Å follow each position.
Space group Cmc2_1 (No. 36)
One atom of each set of equivalent atoms:
Tb 0.0000 0.2057 0.0000 [4 per cell]  3 Ho 3.22-3.51, 7 Y 3.34-3.43
Y 0.0000 0.0474 0.2456 [4 per cell]  1 Tb 3.36, 4 Ho 3.53-3.60, 2 Y 3.60
Y 0.0000 0.2801 0.4987 [4 per cell]  4 Y 3.26-3.36, 1 Ho 3.33, 2 Tb 3.42-3.43
Y 0.1642 0.4548 0.6143 [8 per cell]  4 Ho 3.39-3.64, 5 Y 3.41-3.78
Y 0.2454 0.2913 0.7921 [8 per cell]  5 Y 3.26-3.49, 2 Ho 3.28-3.58, 2 Tb 3.34-3.40
Ho 0.0000 0.3892 0.0792 [4 per cell]  7 Y 3.33-3.73, 1 Tb 3.51, 2 Ho 3.68
Ho 0.1717 0.1098 0.6986 [8 per cell]  1 Tb 3.22, 6 Y 3.28-3.60